A relaxed V3PtF crystal, computed with PBE+U.

Distance to the lowest polymorph of the same formula, eV per formula unit: 3.875

Cell: 5.039 5.039 5.039 Å, 90.00 90.00 90.00°
Last column: magnetic moment on the atom in μB.
Element x y z (fractional)
V: 0.000 0.500 0.000  2.82
V: 0.000 0.000 0.500  2.82
V: 0.500 0.000 0.000  2.82
Pt: 0.000 0.000 0.000  -0.07
F: 0.500 0.500 0.500  0.14